No. 1
# Sb3PO7 (meta-GGA SCAN, single point on PBEsol structure)
# Theoretical density (g/cm³): 5.01
# Volume (Å³ per cell): 2020.7
# E_form (uncorrected) (eV/atom): -1.64
data_Sb3PO7
_chemical_formula_sum 'Sb36 P12 O84'
_cell_length_a 13.011
_cell_length_b 13.492
_cell_length_c 12.276
_cell_angle_alpha 90.00
_cell_angle_beta 110.32
_cell_angle_gamma 90.00
_space_group_name_H-M_alt 'C 1 m 1'
_space_group_IT_number 8
_space_group_name_Hall 'C -2y'
loop_
_atom_site_label
_atom_site_type_symbol
_atom_site_fract_x
_atom_site_fract_y
_atom_site_fract_z
Sb1 Sb 0.000 0.150 0.000
Sb2 Sb 0.094 0.343 0.233
Sb3 Sb 0.130 0.348 0.885
Sb4 Sb 0.188 0.342 0.566
Sb5 Sb 0.287 0.181 0.134
Sb6 Sb 0.304 0.172 0.429
Sb7 Sb 0.324 0.160 0.837
Sb8 Sb 0.468 0.305 0.664
Sb9 Sb 0.473 0.332 0.349
P1 P 0.116 0.000 0.858
P2 P 0.151 0.000 0.238
P3 P 0.297 0.500 0.427
P4 P 0.299 0.500 0.793
P5 P 0.478 0.000 0.978
P6 P 0.496 0.000 0.397
O1 O 0.025 0.000 0.742
O2 O 0.056 0.000 0.120
O3 O 0.083 0.307 0.720
O4 O 0.090 0.500 0.070
O5 O 0.109 0.500 0.502
O6 O 0.113 0.095 0.933
O7 O 0.119 0.000 0.346
O8 O 0.135 0.243 0.080
O9 O 0.152 0.258 0.386
O10 O 0.190 0.500 0.322
O11 O 0.195 0.500 0.828
O12 O 0.223 0.094 0.241
O13 O 0.232 0.000 0.851
O14 O 0.270 0.260 0.929
O15 O 0.297 0.404 0.723
O16 O 0.302 0.405 0.503
O17 O 0.316 0.266 0.285
O18 O 0.318 0.235 0.610
O19 O 0.399 0.500 0.392
O20 O 0.402 0.000 0.442
O21 O 0.403 0.500 0.901
O22 O 0.416 0.098 0.995
O23 O 0.457 0.253 0.492
O24 O 0.465 0.247 0.855
O25 O 0.468 0.000 0.849
O26 O 0.469 0.262 0.195
O27 O 0.489 0.095 0.321

=====

No. 2
# SnRuI2N (meta-GGA SCAN, single point on PBEsol structure)
# Theoretical density (g/cm³): 7.02
# Volume (Å³ per cell): 115.4
# E_form (uncorrected) (eV/atom): 0.34
# E above lowest polymorph (eV/atom): 0.000
data_SnRuI2N
_chemical_formula_sum 'Sn1 Ru1 I2 N1'
_cell_length_a 5.587
_cell_length_b 5.587
_cell_length_c 3.698
_cell_angle_alpha 90.00
_cell_angle_beta 90.00
_cell_angle_gamma 90.00
_space_group_name_H-M_alt 'P 4/m m m'
_space_group_IT_number 123
_space_group_name_Hall '-P 4 2'
loop_
_atom_site_label
_atom_site_type_symbol
_atom_site_fract_x
_atom_site_fract_y
_atom_site_fract_z
Sn1 Sn 0.000 0.000 0.000
Ru1 Ru 0.500 0.500 0.500
I1 I 0.000 0.500 0.500
N1 N 0.500 0.500 0.000

=====

These records have raw total energy values of -183.88, -151.80 eV per formula unit, in the order they appear.